# 1
The following is a GGA-PBE calculation of crystalline HgWSe2 at its relaxed geometry, from Alexandria via LeMat-Bulk.

POSCAR file:
```
HgWSe2
1.0
-1.231 -2.412 -1.353
1.875 1.532 -1.817
7.812 -5.775 3.191
Hg Se W
1 2 1
Direct
0.500 0.500 0.728
0.000 0.000 0.968
0.500 0.500 0.312
0.000 0.000 0.492
```

Calculated values
total magnetization: 0.00 μB per atom
E_tot: -4.5764 eV per atom
symmetry: No. 35
uncorrected formation energy: 1.92 eV per formula unit

***

# 2
The following is a GGA-PBE calculation of crystalline TmZrMnFe at its relaxed geometry, from Alexandria via LeMat-Bulk.

POSCAR file:
```
TmZrMnFe
1.0
4.654 0.000 0.000
2.327 4.030 0.000
2.327 1.343 3.800
Mn Tm Fe Zr
1 1 1 1
Direct
0.000 0.000 0.000
0.750 0.750 0.750
0.500 0.500 0.500
0.250 0.250 0.250
```

Calculated values
total magnetization: 0.71 μB per atom
E_tot: -7.5916 eV per atom
energy relative to the elements: 0.071 eV per atom
symmetry: No. 216